Record 1
A plane-wave DFT calculation with PBE-GGA was carried out for a relaxed Co3Rh2 crystal.

Output
Its symmetry is R-3m. The value obtained for the uncorrected energy is -35.6 eV per cell.

Cell: 10.563 10.563 10.563 Å, 14.27 14.27 14.27°
Fractional positions:
Co (0.000, 0.000, 0.000)
Co (0.396, 0.396, 0.396)
Co (0.604, 0.604, 0.604)
Rh (0.203, 0.203, 0.203)
Rh (0.797, 0.797, 0.797)


Record 2
A plane-wave DFT calculation with PBE-GGA was carried out for a relaxed CoRh3 crystal.

Output
Its symmetry is Pmmn. The value obtained for the uncorrected energy is -173.8 eV per cell.

Cell: 5.369 13.085 4.627 Å, 90.00 90.00 90.00°
Fractional positions:
Co (0.250, 0.084, 0.168)
Co (0.250, 0.416, 0.168)
Co (0.250, 0.750, 0.497)
Co (0.750, 0.250, 0.503)
Co (0.750, 0.584, 0.832)
Co (0.750, 0.916, 0.832)
Rh (0.001, 0.250, 0.004)
Rh (0.001, 0.584, 0.333)
Rh (0.001, 0.916, 0.333)
Rh (0.250, 0.250, 0.496)
Rh (0.250, 0.583, 0.833)
Rh (0.250, 0.917, 0.833)
Rh (0.499, 0.250, 0.004)
Rh (0.499, 0.584, 0.333)
Rh (0.499, 0.916, 0.333)
Rh (0.501, 0.084, 0.667)
Rh (0.501, 0.416, 0.667)
Rh (0.501, 0.750, 0.996)
Rh (0.750, 0.083, 0.167)
Rh (0.750, 0.417, 0.167)
Rh (0.750, 0.750, 0.504)
Rh (0.999, 0.084, 0.667)
Rh (0.999, 0.416, 0.667)
Rh (0.999, 0.750, 0.996)


Formation energy from the elements (computed, eV/atom): 0.0791, 0.0482